# PuAsPd4, relaxed, DFT GGA-PBE
# Theoretical density = 11.478 g cm⁻³
# DFT formation energy = -10.57 kcal/mol of atoms
data_PuAsPd4
_chemical_formula_sum 'Pu2 As2 Pd8'
_cell_length_a 7.488
_cell_length_b 4.106
_cell_length_c 7.007
_cell_angle_alpha 90.00
_cell_angle_beta 90.00
_cell_angle_gamma 90.00
_symmetry_space_group_name_H-M 'P m m a'
_symmetry_Int_Tables_number 51
_symmetry_space_group_name_Hall '-P 2a 2a'
loop_
_atom_site_label
_atom_site_type_symbol
_atom_site_fract_x
_atom_site_fract_y
_atom_site_fract_z
Pu1 Pu 0.250 0.000 0.137
As1 As 0.250 0.000 0.731
Pd1 Pd 0.000 0.000 0.500
Pd2 Pd 0.052 0.500 0.807
Pd3 Pd 0.250 0.500 0.439